# 1
## Rb2BaCoB (PBE-GGA)

Data for a relaxed structure of Rb2BaCoB.

POSCAR file:
```
Rb2BaCoB
1.0
6.224 0.000 0.000
0.000 6.224 0.000
0.000 0.000 5.710
Rb Ba Co B
2 1 1 1
Direct
0.000 0.500 0.000
0.500 0.000 0.000
0.000 0.000 0.500
0.500 0.500 0.500
0.000 0.000 0.000
```

Computed properties:
raw total energy	-2.27	eV/atom
E_form	29.1	kcal/mol of atoms



# 2
## BaCoB2Rh (PBE-GGA)

Data for a relaxed structure of BaCoB2Rh.

POSCAR file:
```
BaCoB2Rh
1.0
4.823 0.000 0.000
0.000 4.823 0.000
0.000 0.000 5.164
Ba Co B Rh
1 1 2 1
Direct
0.000 0.000 0.000
0.500 0.500 0.500
0.000 0.500 0.000
0.500 0.000 0.000
0.000 0.000 0.500
```

Computed properties:
raw total energy	-3.00	eV/atom
E_form	67.9	kcal/mol of atoms



# 3
## Ba2CoBS (PBE-GGA)

Data for a relaxed structure of Ba2CoBS.

POSCAR file:
```
Ba2CoBS
1.0
5.771 0.000 0.000
0.000 5.771 0.000
0.000 0.000 3.864
Ba Co B S
2 1 1 1
Direct
0.000 0.500 0.000
0.500 0.000 0.000
0.000 0.000 0.500
0.000 0.000 0.000
0.500 0.500 0.500
```

Computed properties:
raw total energy	-4.69	eV/atom
raw formation energy	-0.343	eV/atom



# 4
## Ba2CoBS (PBE-GGA)

Data for a relaxed structure of Ba2CoBS.

POSCAR file:
```
Ba2CoBS
1.0
5.881 0.000 0.000
0.000 5.881 0.000
0.000 0.000 3.865
Ba Co B S
2 1 1 1
Direct
0.000 0.500 0.000
0.500 0.000 0.000
0.000 0.000 0.500
0.500 0.500 0.000
0.500 0.500 0.500
```

Computed properties:
raw total energy	-3.93	eV/atom
raw formation energy	0.422	eV/atom